Record 1
RuPbW2 | PBE-GGA | relaxed

Properties
SG: Pm (6)
N(E_F): 2.174 states/eV/cell
Calculated formation energy: 1.99 eV per formula unit

Cell lengths 3.0295, 3.0959, 7.7882 Å; angles 90.00, 93.93, 90.00 degrees
Fractional positions:
Ru1 0.0000 0.0000 0.0000
Pb1 0.4775 0.5000 0.2647
W1 0.4805 0.5000 0.7967
W2 0.8138 0.0000 0.5739



Record 2
RuPbW2 | PBE-GGA | relaxed

Properties
SG: R3m (160)
N(E_F): 12.738 states/eV/cell
Calculated formation energy: 2.49 eV per formula unit

Cell lengths 2.9591, 2.9591, 28.4657 Å; angles 90.00, 90.00, 120.00 degrees
Fractional positions:
Ru1 0.0000 0.0000 0.0000
Ru2 0.3333 0.6667 0.6667
Ru3 0.6667 0.3333 0.3333
Pb1 0.0000 0.0000 0.7564
Pb2 0.3333 0.6667 0.4231
Pb3 0.6667 0.3333 0.0897
W1 0.0000 0.0000 0.2640
W2 0.0000 0.0000 0.5158
W3 0.3333 0.6667 0.1825
W4 0.3333 0.6667 0.9306
W5 0.6667 0.3333 0.5973
W6 0.6667 0.3333 0.8492



Record 3
RuPb2W | PBE-GGA | relaxed

Properties
Energy above the lowest structure with this stoichiometry: 0 meV/atom
SG: Pm (6)
N(E_F): 1.007 states/eV/cell
Calculated formation energy: 1.25 eV per formula unit

Cell lengths 3.1270, 3.1277, 9.4540 Å; angles 90.00, 90.09, 90.00 degrees
Fractional positions:
Ru1 0.0000 0.0000 0.0000
Pb1 0.5012 0.5000 0.2319
Pb2 0.9973 0.0000 0.6117
W1 0.4993 0.5000 0.8575



Record 4
RuPbW3 | PBE-GGA | relaxed

Properties
Energy above the lowest structure with this stoichiometry: 0 meV/atom
SG: Pm-3m (221)
N(E_F): 6.856 states/eV/cell
Calculated formation energy: 9.19 eV per formula unit

Cell lengths 4.7673, 4.7673, 4.7673 Å; angles 90.00, 90.00, 90.00 degrees
Fractional positions:
Ru1 0.0000 0.0000 0.0000
Pb1 0.5000 0.5000 0.5000
W1 0.0000 0.0000 0.5000
W2 0.0000 0.5000 0.0000
W3 0.5000 0.0000 0.0000



VASP energy / eV/atom: -9.225 -9.101 -7.099 -8.531
Total magnetization / μB/atom: 0.000 0.010 0.000 0.192